AlRhW, relaxed, DFT PBE-GGA; formation energy = -1.3 eV per formula unit; total magnetization = 0.00 μB per cell; density = 11.92 g/cm3; space group = No. 107
1.0
-1.4341 1.4341 5.3104
1.4341 -1.4341 5.3104
1.4341 1.4341 -5.3104
Al Rh W
1 1 1
Direct
0.0000 0.0000 0.0000
0.6497 0.6497 0.0000
0.3237 0.3237 0.0000